! Mn2SeCl, optimized geometry, DFT GGA-PBE; values from VASP
&SYSTEM
  ibrav = 0, nat = 4, ntyp = 3
/
ATOMIC_SPECIES
Mn 54.94 Mn.upf
Se 78.96 Se.upf
Cl 35.45 Cl.upf
CELL_PARAMETERS angstrom
3.3301 0.0000 0.0000
0.0000 3.3301 0.0000
0.0000 0.0000 6.6800
ATOMIC_POSITIONS angstrom
Mn 0.0000 0.0000 1.3848
Mn 0.0000 0.0000 5.2952
Se 1.6651 1.6651 0.0000
Cl 1.6651 1.6651 3.3400
! - ΔE_f (raw): -0.03 eV/atom
! - E above lowest polymorph: 0.296 eV per atom
! - DFT total energy: -5.9514 eV/atom

---

! CaCuMo2, optimized geometry, DFT GGA-PBE; values from VASP
&SYSTEM
  ibrav = 0, nat = 4, ntyp = 3
/
ATOMIC_SPECIES
Ca 40.08 Ca.upf
Cu 63.55 Cu.upf
Mo 95.94 Mo.upf
CELL_PARAMETERS angstrom
2.6424 0.0000 0.0000
0.0000 4.9715 0.0000
0.0000 0.0000 5.3510
ATOMIC_POSITIONS angstrom
Ca 0.0000 0.0000 0.0000
Cu 0.0000 0.0000 2.6755
Mo 1.3212 2.4857 1.3379
Mo 1.3212 2.4857 4.0131
! - ΔE_f: 0.7249 eV/atom
! - E above lowest polymorph: 0.385 eV per atom
! - DFT total energy: -6.2151 eV/atom

---

! PmNbN2, optimized geometry, DFT GGA-PBE; values from VASP
&SYSTEM
  ibrav = 0, nat = 4, ntyp = 3
/
ATOMIC_SPECIES
Pm 145.00 Pm.upf
Nb 92.91 Nb.upf
N 14.01 N.upf
CELL_PARAMETERS angstrom
1.6154 0.9327 5.8782
-1.6154 0.9327 5.8782
0.0000 -1.8653 5.8782
ATOMIC_POSITIONS angstrom
Pm 0.0000 0.0000 0.0000
Nb 0.0000 0.0000 3.0918
N 0.0000 0.0000 7.6332
N 0.0000 0.0000 10.2103
! - ΔE_f (raw): -1.12 eV/atom
! - E above lowest polymorph: 0.183 eV per atom
! - DFT total energy: -8.9830 eV/atom

---

! HoLuMnCo, optimized geometry, DFT GGA-PBE; values from VASP
&SYSTEM
  ibrav = 0, nat = 4, ntyp = 4
/
ATOMIC_SPECIES
Ho 164.93 Ho.upf
Lu 174.97 Lu.upf
Mn 54.94 Mn.upf
Co 58.93 Co.upf
CELL_PARAMETERS angstrom
0.0000 3.4035 3.4035
3.4035 0.0000 3.4035
3.4035 3.4035 0.0000
ATOMIC_POSITIONS angstrom
Ho 0.0000 0.0000 0.0000
Lu 3.4035 3.4035 3.4035
Mn 5.1052 5.1052 5.1052
Co 1.7017 1.7017 1.7017
! - ΔE_f: 0.0190 eV/atom
! - DFT total energy: -6.3245 eV/atom

---

Question: What is the formula in the first record?
Answer: Mn2SeCl

---

Question: Number 2 is which compound?
Answer: CaCuMo2